## NbFeTe6 (PBE-GGA)

Data for a geometry-optimized NbFeTe6 structure.

M_tot, μB per formula unit: 1.4
Volume, Å³/cell: 216.72
ρ, g/cm3: 7.0
Density of states at the Fermi level, states/eV/atom: 0.91
E_form (uncorrected), eV per formula unit: -0.2

a = 6.6800 Å, b = 6.6908 Å, c = 6.7139 Å
α = 60.98°, β = 60.89°, γ = 60.97°
Space group P-1 (No. 2)
Unique sites:
Nb  0.0000  0.0000  0.0000 x1
Fe  0.5000  0.5000  0.5000 x1
Te  0.0824  0.7179  0.4378 x2
Te  0.2782  0.5612  0.9175 x2
Te  0.4400  0.0818  0.7173 x2



## RhAuC (PBE-GGA)

Data for a geometry-optimized RhAuC structure.

M_tot, μB per formula unit: 0.0
Volume, Å³/cell: 44.20
ρ, g/cm3: 11.7
Density of states at the Fermi level, states/eV/atom: 0.20
Energy relative to the elements, eV/atom: 0.55

a = 3.1724 Å, b = 3.1724 Å, c = 5.0715 Å
α = 90.00°, β = 90.00°, γ = 120.00°
Space group P3m1 (No. 156)
Unique sites:
Rh  0.0000  0.0000  0.0000 x1
Au  0.3333  0.6667  0.4517 x1
C  0.3333  0.6667  0.8690 x1



## ReRuRh5 (PBE-GGA)

Data for a geometry-optimized ReRuRh5 structure.

M_tot, μB per formula unit: 0.0
Volume, Å³/cell: 433.31
ρ, g/cm3: 12.3
Density of states at the Fermi level, states/eV/atom: 1.26
Energy relative to the elements, eV/atom: 0.36

a = 8.6170 Å, b = 5.9397 Å, c = 9.0714 Å
α = 90.00°, β = 111.05°, γ = 90.00°
Space group C2/c (No. 15)
Unique sites:
Re  0.0000  0.0698  0.2500 x4
Ru  0.2500  0.2500  0.0000 x4
Rh  0.0000  0.3509  0.7500 x4
Rh  0.0757  0.3183  0.4725 x8
Rh  0.2477  0.4030  0.2740 x8



## CuIr2Os (PBE-GGA)

Data for a geometry-optimized CuIr2Os structure.

M_tot, μB per formula unit: 0.0
Volume, Å³/cell: 57.35
ρ, g/cm3: 18.5
Density of states at the Fermi level, states/eV/atom: 1.30
Energy relative to the elements, eV/atom: 0.40

a = 4.5860 Å, b = 4.5860 Å, c = 2.7270 Å
α = 90.00°, β = 90.00°, γ = 90.00°
Space group P4/mmm (No. 123)
Unique sites:
Cu  0.0000  0.0000  0.0000 x1
Ir  0.0000  0.5000  0.5000 x2
Os  0.5000  0.5000  0.0000 x1



## Ru3ClO (PBE-GGA)

Data for a geometry-optimized Ru3ClO structure.

M_tot, μB per formula unit: 0.8
Volume, Å³/cell: 71.53
ρ, g/cm3: 8.2
Density of states at the Fermi level, states/eV/atom: 1.42
E_form (uncorrected), eV per formula unit: 4.5

a = 4.1510 Å, b = 4.1510 Å, c = 4.1510 Å
α = 90.00°, β = 90.00°, γ = 90.00°
Space group Pm-3m (No. 221)
Unique sites:
Ru  0.0000  0.0000  0.5000 x3
Cl  0.5000  0.5000  0.5000 x1
O  0.0000  0.0000  0.0000 x1



## Zr2TiGaO (PBE-GGA)

Data for a geometry-optimized Zr2TiGaO structure.

M_tot, μB per formula unit: 0.0
Volume, Å³/cell: 81.81
ρ, g/cm3: 6.4
Density of states at the Fermi level, states/eV/atom: 1.08
E_form (uncorrected), eV per formula unit: -6.1

a = 4.5412 Å, b = 4.5412 Å, c = 3.9671 Å
α = 90.00°, β = 90.00°, γ = 90.00°
Space group P4/mmm (No. 123)
Unique sites:
Zr  0.0000  0.5000  0.0000 x2
Ti  0.0000  0.0000  0.5000 x1
Ga  0.5000  0.5000  0.5000 x1
O  0.0000  0.0000  0.0000 x1